16
Lattice="7.7306 0.0000 0.0000 0.0000 7.7306 0.0000 0.0000 0.0000 7.7306" Properties=species:S:1:pos:R:3 comment="AcCeHgGe PBE optimized geometry" e_form_ev_per_atom=-0.436 dft_energy_ha_per_atom=-0.1535 pbc="T T T"
Ac 0.0000 0.0000 0.0000
Ac 0.0000 3.8653 3.8653
Ac 3.8653 0.0000 3.8653
Ac 3.8653 3.8653 0.0000
Ce 0.0000 0.0000 3.8653
Ce 0.0000 3.8653 0.0000
Ce 3.8653 0.0000 0.0000
Ce 3.8653 3.8653 3.8653
Hg 1.9326 1.9326 1.9326
Hg 1.9326 5.7979 5.7979
Hg 5.7979 1.9326 5.7979
Hg 5.7979 5.7979 1.9326
Ge 1.9326 1.9326 5.7979
Ge 1.9326 5.7979 1.9326
Ge 5.7979 1.9326 1.9326
Ge 5.7979 5.7979 5.7979